{"formula": "ReTcHg2", "functional": "PBE", "state": "relaxed", "relative_energy_ev_per_atom": 0.675, "vol_a3_per_cell": 70, "formation_energy_ev_per_atom": 0.9923, "e_tot_ev_per_atom": -4.86, "lattice": [[3.973, 0.000, 0.000], [0.000, 3.973, 0.000], [0.000, 0.000, 4.462]], "species": ["Re", "Tc", "Hg", "Hg"], "frac_coords": [[0.000, 0.000, 0.000], [0.500, 0.500, 0.000], [0.000, 0.500, 0.500], [0.500, 0.000, 0.500]]}

{"formula": "PrPuPt2", "functional": "PBE", "state": "relaxed", "vol_a3_per_cell": 91, "formation_energy_ev_per_atom": -0.8538, "e_tot_ev_per_atom": -8.65, "lattice": [[3.576, 0.000, 0.000], [0.000, 3.576, 0.000], [0.000, 0.000, 7.140]], "species": ["Pr", "Pu", "Pt", "Pt"], "frac_coords": [[0.000, 0.000, 0.000], [0.000, 0.000, 0.500], [0.500, 0.500, 0.262], [0.500, 0.500, 0.738]]}

{"formula": "HfMnIn", "functional": "PBE", "state": "relaxed", "vol_a3_per_cell": 107, "formation_energy_ev_per_atom": 0.0169, "e_tot_ev_per_atom": -7.27, "lattice": [[3.302, 0.000, 0.000], [0.000, 3.302, 0.000], [0.000, 0.000, 9.850]], "species": ["Hf", "Hf", "Mn", "Mn", "In", "In"], "frac_coords": [[0.000, 0.000, 0.000], [0.500, 0.500, 0.500], [0.000, 0.000, 0.371], [0.500, 0.500, 0.871], [0.000, 0.000, 0.704], [0.500, 0.500, 0.204]]}